Computed, not measured: crystalline Cd2SeBrCl at its relaxed geometry at the PBE level of DFT.

a b c (Å): 5.6978 5.6978 5.0951
angles (deg): 90.00 90.00 90.00
Fractional coordinates of all 5 atoms:
Cd: 0.0000 0.5000 0.0000
Cd: 0.5000 0.0000 0.0000
Se: 0.0000 0.0000 0.5000
Br: 0.0000 0.0000 0.0000
Cl: 0.5000 0.5000 0.5000

Results
Formation energy (no corrections)   325.4 meV/atom
M_tot   0.21 μB/f.u.



Computed, not measured: crystalline TlCdBr2Cl at its relaxed geometry at the PBE level of DFT.

a b c (Å): 5.5482 5.5482 5.1984
angles (deg): 90.00 90.00 90.00
Fractional coordinates of all 5 atoms:
Tl: 0.0000 0.0000 0.0000
Cd: 0.5000 0.5000 0.5000
Br: 0.0000 0.5000 0.5000
Br: 0.5000 0.0000 0.5000
Cl: 0.5000 0.5000 0.0000

Results
Formation energy (no corrections)   -862.8 meV/atom
M_tot   0.00 μB/f.u.



Computed, not measured: crystalline Tl2CdBr3Cl at its relaxed geometry at the PBE level of DFT.

a b c (Å): 9.1054 9.1054 9.1054
angles (deg): 146.32 144.56 49.69
Fractional coordinates of all 7 atoms:
Tl: 0.1388 0.1388 0.0000
Tl: 0.8612 0.8612 0.0000
Cd: 0.5000 0.5000 0.0000
Br: 0.0000 0.5000 0.5000
Br: 0.3333 0.3333 0.0000
Br: 0.6667 0.6667 0.0000
Cl: 0.5000 0.0000 0.5000

Results
Formation energy (no corrections)   -876.0 meV/atom
M_tot   0.00 μB/f.u.



Computed, not measured: crystalline V2CdBrCl at its relaxed geometry at the PBE level of DFT.

a b c (Å): 5.4075 5.4075 5.3400
angles (deg): 90.00 90.00 90.00
Fractional coordinates of all 5 atoms:
V: 0.0000 0.5000 0.0000
V: 0.5000 0.0000 0.0000
Cd: 0.0000 0.0000 0.0000
Br: 0.0000 0.0000 0.5000
Cl: 0.5000 0.5000 0.5000

Results
Formation energy (no corrections)   1070.3 meV/atom
M_tot   7.44 μB/f.u.



Computed, not measured: crystalline ZnCdBr2Cl at its relaxed geometry at the PBE level of DFT.

a b c (Å): 9.4622 9.4622 9.4622
angles (deg): 155.76 150.97 38.17
Fractional coordinates of all 5 atoms:
Zn: 0.0000 0.0000 0.0000
Cd: 0.1509 0.1509 0.0000
Br: 0.2488 0.7488 0.5000
Br: 0.9181 0.4181 0.5000
Cl: 0.5648 0.0648 0.5000

Results
Formation energy (no corrections)   -671.8 meV/atom
M_tot   0.00 μB/f.u.
Energy above the most stable polymorph in this dataset   2.5 kJ per mole of atoms



Computed, not measured: crystalline ZnCdBr2Cl at its relaxed geometry at the PBE level of DFT.

a b c (Å): 7.3554 7.3554 5.6036
angles (deg): 108.92 108.92 32.87
Fractional coordinates of all 5 atoms:
Zn: 0.0000 0.0000 0.0000
Cd: 0.8000 0.8000 0.4658
Br: 0.1414 0.1414 0.3939
Br: 0.5186 0.5186 0.7703
Cl: 0.8376 0.8376 0.0095

Results
Formation energy (no corrections)   -672.7 meV/atom
M_tot   0.00 μB/f.u.
Energy above the most stable polymorph in this dataset   2.4 kJ per mole of atoms